A plane-wave DFT calculation with PBEsol was carried out for an optimized crystal structure of BaNa2As2.

- DFT formation energy (eV/f.u.) = -3.23
- space-group type = I4/mmm
- final energy (eV per atom) = -3.678

```
BaNa2As2
1.0
4.651 0.000 0.000
0.000 4.651 0.000
-2.325 -2.325 6.202
Na As Ba
2 2 1
Direct
0.250 0.750 0.500
0.750 0.250 0.500
0.601 0.601 0.202
0.399 0.399 0.798
0.000 0.000 0.000
```

***

A plane-wave DFT calculation with PBEsol was carried out for an optimized crystal structure of Ba2NaAsO.

- formation energy from raw total energies (eV per atom) = -1.473
- space-group type = P4/mmm
- final energy (eV per atom) = -4.684

```
Ba2NaAsO
1.0
4.643 0.000 0.000
0.000 5.314 0.000
0.000 0.000 5.314
As O Ba Na
1 1 2 1
Direct
0.500 0.500 0.500
0.000 0.000 0.000
0.000 0.500 0.000
0.000 0.000 0.500
0.500 0.000 0.000
```

***

A plane-wave DFT calculation with PBEsol was carried out for an optimized crystal structure of Ba2NaSn6As6.

- DFT formation energy (eV/f.u.) = -6.85
- space-group type = C2/m
- final energy (eV per atom) = -4.583

```
Ba2NaSn6As6
1.0
-0.259 2.939 6.560
1.245 -7.047 -0.732
8.742 3.016 -2.327
As Sn Ba Na
6 6 2 1
Direct
0.923 0.248 0.769
0.402 0.402 0.231
0.248 0.923 0.769
0.077 0.752 0.231
0.752 0.077 0.231
0.598 0.598 0.769
0.464 0.126 0.377
0.212 0.212 0.621
0.874 0.536 0.623
0.788 0.788 0.379
0.126 0.464 0.377
0.536 0.874 0.623
0.334 0.666 0.000
0.666 0.334 0.000
0.000 0.000 0.000
```

***

A plane-wave DFT calculation with PBEsol was carried out for an optimized crystal structure of Ba2NiAs.

- DFT formation energy (eV/f.u.) = -0.94
- space-group type = Pmmm
- final energy (eV per atom) = -4.124

```
Ba2NiAs
1.0
3.610 0.000 0.000
0.000 4.107 0.000
0.000 0.000 7.675
Ba Ni As
2 1 1
Direct
0.000 0.000 0.248
0.000 0.000 0.752
0.500 0.500 0.000
0.500 0.500 0.500
```

***

A plane-wave DFT calculation with PBEsol was carried out for an optimized crystal structure of Ba2NiAs.

- DFT formation energy (eV/f.u.) = -1.03
- space-group type = Cmmm
- final energy (eV per atom) = -4.148

```
Ba2NiAs
1.0
4.090 -0.042 -0.040
0.054 5.264 0.023
0.054 0.254 5.258
Ba Ni As
2 1 1
Direct
0.000 0.000 0.500
0.000 0.500 0.000
0.500 0.000 0.000
0.500 0.500 0.500
```

***

A plane-wave DFT calculation with PBEsol was carried out for an optimized crystal structure of BaNi9As5.

- DFT formation energy (eV/f.u.) = -7.52
- space-group type = P6_3/mmc
- final energy (eV per atom) = -6.041

```
BaNi9As5
1.0
-0.198 -6.566 1.111
4.585 2.547 -4.108
7.014 1.244 8.599
Ba Ni As
2 18 10
Direct
0.000 0.000 0.000
0.000 0.000 0.500
0.464 0.536 0.606
0.791 0.209 0.750
0.928 0.464 0.106
0.419 0.209 0.750
0.464 0.536 0.894
0.536 0.072 0.394
0.536 0.464 0.106
0.072 0.536 0.894
0.072 0.536 0.606
0.464 0.928 0.894
0.581 0.791 0.250
0.536 0.072 0.106
0.209 0.419 0.250
0.791 0.581 0.750
0.928 0.464 0.394
0.536 0.464 0.394
0.209 0.791 0.250
0.464 0.928 0.606
0.333 0.667 0.061
0.173 0.827 0.750
0.346 0.173 0.250
0.173 0.346 0.750
0.654 0.827 0.750
0.827 0.173 0.250
0.667 0.333 0.561
0.827 0.654 0.250
0.333 0.667 0.439
0.667 0.333 0.939
```

***

A plane-wave DFT calculation with PBEsol was carried out for an optimized crystal structure of BaNi2As.

- DFT formation energy (eV/f.u.) = -1.26
- space-group type = Pm
- final energy (eV per atom) = -5.208

```
BaNi2As
1.0
4.192 0.000 0.000
0.000 4.458 0.071
0.000 -0.066 4.771
As Ni Ba
1 2 1
Direct
0.000 0.534 0.249
0.000 0.035 0.250
0.500 0.728 0.250
0.500 0.203 0.750
```

***

A plane-wave DFT calculation with PBEsol was carried out for an optimized crystal structure of Ba2As6O11.

- formation energy from raw total energies (eV per atom) = -1.652
- space-group type = P1
- final energy (eV per atom) = -6.530

```
Ba2As6O11
1.0
5.298 0.084 -0.062
0.843 6.841 -0.109
0.582 2.919 8.549
O Ba As
11 2 6
Direct
0.487 0.994 0.704
0.276 0.698 0.449
0.901 0.667 0.262
0.999 0.955 0.710
0.708 0.320 0.571
0.371 0.625 0.809
0.615 0.398 0.212
0.043 0.378 0.764
0.485 0.035 0.318
0.050 0.453 0.057
0.976 0.056 0.322
0.226 0.313 0.454
0.750 0.714 0.559
0.722 0.152 0.179
0.263 0.867 0.845
0.735 0.146 0.754
0.245 0.879 0.269
0.777 0.624 0.105
0.245 0.377 0.907
```

***

A plane-wave DFT calculation with PBEsol was carried out for an optimized crystal structure of Ba4As2O.

- formation energy from raw total energies (eV per atom) = -1.486
- space-group type = I4/mmm
- final energy (eV per atom) = -4.923

```
Ba4As2O
1.0
-3.429 3.842 -0.077
-2.875 -2.634 -3.365
-1.090 -4.260 8.208
As Ba O
2 4 1
Direct
0.865 0.865 0.729
0.135 0.135 0.271
0.325 0.325 0.650
0.000 0.500 0.000
0.675 0.675 0.350
0.500 0.000 0.000
0.500 0.500 0.000
```

***

A plane-wave DFT calculation with PBEsol was carried out for an optimized crystal structure of RbBaAs2O.

- formation energy from raw total energies (eV per atom) = 0.411
- space-group type = P4/mmm
- final energy (eV per atom) = -3.316

```
RbBaAs2O
1.0
4.760 0.000 0.000
0.000 5.648 0.000
0.000 0.000 5.648
Rb As Ba O
1 2 1 1
Direct
0.000 0.000 0.000
0.000 0.000 0.500
0.000 0.500 0.000
0.500 0.500 0.500
0.500 0.000 0.000
```

***

A plane-wave DFT calculation with PBEsol was carried out for an optimized crystal structure of Ba2AsSe4O3.

- formation energy from raw total energies (eV per atom) = -0.971
- space-group type = Cm
- final energy (eV per atom) = -5.026

```
Ba2AsSe4O3
1.0
-0.298 -1.402 6.121
-3.305 -5.201 -1.244
4.033 -5.071 0.969
Se O As Ba
4 3 1 2
Direct
0.665 0.084 0.583
0.308 0.308 0.560
0.703 0.703 0.199
0.084 0.665 0.583
0.179 0.332 0.085
0.109 0.109 0.761
0.332 0.179 0.085
0.695 0.695 0.570
0.778 0.249 0.020
0.249 0.778 0.020
```

***

A plane-wave DFT calculation with PBEsol was carried out for an optimized crystal structure of Ba3TaAs3O.

- formation energy from raw total energies (eV per atom) = -1.419
- space-group type = Pnma
- final energy (eV per atom) = -6.365

```
Ba3TaAs3O
1.0
-5.565 -3.698 0.643
5.218 -6.593 7.240
-4.067 7.876 10.103
Ba As Ta O
12 12 4 4
Direct
0.243 0.045 0.132
0.778 0.250 0.627
0.257 0.545 0.632
0.278 0.250 0.873
0.743 0.455 0.368
0.243 0.455 0.132
0.222 0.750 0.373
0.722 0.750 0.127
0.743 0.045 0.368
0.257 0.955 0.632
0.757 0.545 0.868
0.757 0.955 0.868
0.765 0.554 0.616
0.723 0.750 0.365
0.735 0.446 0.116
0.223 0.750 0.135
0.235 0.446 0.384
0.765 0.946 0.616
0.777 0.250 0.865
0.277 0.250 0.635
0.735 0.054 0.116
0.265 0.946 0.884
0.235 0.054 0.384
0.265 0.554 0.884
0.338 0.250 0.455
0.662 0.750 0.545
0.838 0.250 0.045
0.162 0.750 0.955
0.885 0.750 0.945
0.615 0.250 0.445
0.115 0.250 0.055
0.385 0.750 0.555
```

***

final energy of number 12 (Ba3TaAs3O)?
-6.365 eV per atom

***

final energy of number 7 (BaNi2As)?
-5.208 eV per atom